10
Lattice="7.878 0.000 0.000 0.000 7.878 0.000 0.000 0.000 2.679" Properties=species:S:1:pos:R:3 comment="Be2Si2I (meta-GGA SCAN, PBEsol geometry)" dos_at_fermi_per_ev_cell=5.43 energy_ev_per_atom=-12.132 raw_formation_energy_ev_per_atom=0.964 spacegroup="P4/mbm (127)" pbc="T T T"
Be 1.090 2.849 0.000
Be 2.849 6.788 0.000
Be 5.029 1.090 0.000
Be 6.788 5.029 0.000
Si 1.035 4.974 1.339
Si 2.904 1.035 1.339
Si 4.974 6.843 1.339
Si 6.843 2.904 1.339
I 0.000 0.000 1.339
I 3.939 3.939 1.339


5
Lattice="4.640 0.000 0.000 0.000 4.640 0.000 0.000 0.000 4.640" Properties=species:S:1:pos:R:3 comment="SbPtS3 (meta-GGA SCAN, PBEsol geometry)" dos_at_fermi_per_ev_cell=4.61 energy_ev_per_atom=-26.937 relative_energy_mev_per_atom=0.0 raw_formation_energy_ev_per_atom=0.330 spacegroup="Pm-3m (221)" pbc="T T T"
Sb 0.000 0.000 0.000
Pt 2.320 2.320 2.320
S 0.000 2.320 2.320
S 2.320 0.000 2.320
S 2.320 2.320 0.000


5
Lattice="4.676 0.000 0.000 0.000 4.676 0.000 0.000 0.000 4.676" Properties=species:S:1:pos:R:3 comment="NaMgPd3 (meta-GGA SCAN, PBEsol geometry)" dos_at_fermi_per_ev_cell=1.21 energy_ev_per_atom=-21.234 spacegroup="Pm-3m (221)" pbc="T T T"
Na 0.000 0.000 0.000
Mg 2.338 2.338 2.338
Pd 0.000 2.338 2.338
Pd 2.338 0.000 2.338
Pd 2.338 2.338 0.000


5
Lattice="3.881 0.000 0.000 0.000 3.881 0.000 0.000 0.000 3.632" Properties=species:S:1:pos:R:3 comment="TiPO2F (meta-GGA SCAN, PBEsol geometry)" dos_at_fermi_per_ev_cell=2.77 energy_ev_per_atom=-8.391 raw_formation_energy_ev_per_atom=0.096 spacegroup="P4/mmm (123)" pbc="T T T"
Ti 0.000 0.000 0.000
P 1.940 1.940 0.000
O 0.000 1.940 1.816
O 1.940 0.000 1.816
F 1.940 1.940 1.816